(1)
ScAl3CuPd after structural relaxation, computed with GGA-PBE.

Cell and atoms, written as POSCAR:
```
ScAl3CuPd
1.0
-2.423 4.877 -1.371
-2.819 0.056 5.180
6.115 3.021 -0.061
Cu Sc Al Pd
2 2 6 2
Direct
0.750 0.091 0.182
0.250 0.909 0.818
0.750 0.299 0.597
0.250 0.701 0.403
0.750 0.855 0.709
0.000 0.719 0.000
0.000 0.281 0.000
0.500 0.719 0.000
0.500 0.281 0.000
0.250 0.145 0.291
0.250 0.353 0.706
0.750 0.647 0.294
```

Computed properties:
The value obtained for the calculated formation energy is -373 meV per atom. The space group is Cmcm. The total magnetic moment is 0.00 μB/cell.

=====

(2)
Ca3Ga2Sb4 after structural relaxation, computed with GGA-PBE.

Cell and atoms, written as POSCAR:
```
Ca3Ga2Sb4
1.0
4.582 0.000 0.000
0.000 6.887 0.000
0.000 0.000 16.892
Sb Ga Ca
8 4 6
Direct
0.500 0.745 0.067
0.000 0.229 0.170
0.000 0.755 0.567
0.500 0.255 0.933
0.500 0.271 0.670
0.000 0.771 0.830
0.000 0.245 0.433
0.500 0.729 0.330
0.000 0.857 0.410
0.500 0.643 0.910
0.500 0.357 0.090
0.000 0.143 0.590
0.000 0.000 0.000
0.500 0.779 0.694
0.000 0.279 0.806
0.500 0.221 0.306
0.000 0.721 0.194
0.500 0.500 0.500
```

Computed properties:
The space group is Pnnm. The total magnetic moment is 0.00 μB/cell. The uncorrected formation energy comes out at -0.6473 eV per atom.

=====

Q: Which formula does entry 1 have?
A: ScAl3CuPd